Compound: U2AlN
Source: Alexandria
Functional: PBE
Structure: optimized geometry

Structure (POSCAR):
```
U2AlN
1.0
-0.985 -1.027 -2.682
1.987 -1.009 -2.063
-0.346 -9.193 1.927
U Al N
2 1 1
Cartesian
-0.120 -6.362 0.761
0.776 -4.866 -3.579
0.000 0.000 0.000
0.328 -5.614 -1.409
```

Symmetry   R-3m (166)
Energy relative to the elements, uncorrected   -100 kJ/mol of formula units
Magnetic moment   0.953 Bohr magnetons per cell
ρ   11.6 g/cm3